No. 1
Compound: Nd3ScSb2
Source: Alexandria
Functional: PBE
Structure: optimized geometry

Unit cell a=4.3868 b=4.6517 c=17.2143 alpha=90.00 beta=90.00 gamma=90.00
Closest atoms and distances in Å follow each position.
Fractional positions:
Nd1 0.0000 0.0000 0.0000  4 Sc 3.20, 4 Sb 3.27
Nd2 0.0000 0.5000 0.3227  5 Sb 3.26-3.29
Nd3 0.0000 0.5000 0.6773  5 Sb 3.26-3.29
Nd4 0.5000 0.0000 0.1773  5 Sb 3.26-3.29
Nd5 0.5000 0.0000 0.8227  5 Sb 3.26-3.29
Nd6 0.5000 0.5000 0.5000  4 Sc 3.20, 4 Sb 3.27
Sc1 0.0000 0.0000 0.5000  4 Sb 3.17, 4 Nd 3.20
Sc2 0.5000 0.5000 0.0000  4 Sb 3.17, 4 Nd 3.20
Sb1 0.0000 0.5000 0.1333  2 Sc 3.17, 7 Nd 3.26-3.29
Sb2 0.0000 0.5000 0.8667  2 Sc 3.17, 7 Nd 3.26-3.29
Sb3 0.5000 0.0000 0.3667  2 Sc 3.17, 7 Nd 3.26-3.29
Sb4 0.5000 0.0000 0.6333  2 Sc 3.17, 7 Nd 3.26-3.29

Computed properties:
- Offset from the most stable computed form: 0.000 eV/atom
- SG: Immm (71)
- Formation energy from raw total energies: -0.83 eV per atom
- Crystal system: orthorhombic

---

No. 2
Compound: NdSc4Sb5
Source: Alexandria
Functional: PBE
Structure: optimized geometry

Unit cell a=11.1983 b=11.1983 c=11.1983 alpha=158.21 beta=148.74 gamma=38.43
Closest atoms and distances in Å follow each position.
Fractional positions:
Nd1 0.0000 0.0000 0.0000  6 Sb 3.02-3.13
Sc1 0.2048 0.2048 0.0000  6 Sb 2.93-3.02
Sc2 0.3998 0.3998 0.0000  6 Sb 2.96-3.02
Sc3 0.6002 0.6002 0.0000  6 Sb 2.96-3.02
Sc4 0.7952 0.7952 0.0000  6 Sb 2.93-3.02
Sb1 0.1093 0.6093 0.5000  4 Sc 2.93-3.02, 2 Nd 3.13
Sb2 0.3018 0.8018 0.5000  6 Sc 2.95-3.02
Sb3 0.5000 0.0000 0.5000  4 Sc 3.00, 2 Nd 3.02
Sb4 0.6982 0.1982 0.5000  6 Sc 2.95-3.02
Sb5 0.8907 0.3907 0.5000  4 Sc 2.93-3.02, 2 Nd 3.13

Computed properties:
- SG: Immm (71)
- Formation energy from raw total energies: -0.96 eV per atom
- Crystal system: orthorhombic

---

No. 3
Compound: Nd2ScSb2
Source: Alexandria
Functional: PBE
Structure: optimized geometry

Unit cell a=7.9584 b=7.9584 c=7.9584 alpha=118.10 beta=80.92 gamma=133.37
Closest atoms and distances in Å follow each position.
Fractional positions:
Nd1 0.1468 0.1467 0.2936  5 Sb 3.12-3.27
Nd2 0.3532 0.6467 0.9999  5 Sb 3.12-3.27
Nd3 0.6468 0.3533 0.0001  5 Sb 3.12-3.27
Nd4 0.8532 0.8533 0.7064  5 Sb 3.12-3.27
Sc1 0.2500 0.7500 0.5000  4 Sb 2.96, 2 Sc 3.15
Sc2 0.7500 0.2500 0.5000  4 Sb 2.96, 2 Sc 3.15
Sb1 0.1074 0.7615 0.8689  2 Sc 2.96, 5 Nd 3.12-3.27
Sb2 0.3926 0.2615 0.6540  2 Sc 2.96, 5 Nd 3.12-3.27
Sb3 0.6074 0.7385 0.3460  2 Sc 2.96, 5 Nd 3.12-3.27
Sb4 0.8926 0.2385 0.1311  2 Sc 2.96, 5 Nd 3.12-3.27

Computed properties:
- SG: Ibam (72)
- Formation energy from raw total energies: -0.85 eV per atom
- Crystal system: orthorhombic

---

No. 4
Compound: NdSc2Sb3
Source: Alexandria
Functional: PBE
Structure: optimized geometry

Unit cell a=4.3194 b=4.3194 c=18.1105 alpha=90.00 beta=90.00 gamma=90.00
Closest atoms and distances in Å follow each position.
Fractional positions:
Nd1 0.0000 0.0000 0.0000  6 Sb 3.05-3.14
Nd2 0.5000 0.5000 0.5000  6 Sb 3.05-3.14
Sc1 0.0000 0.0000 0.3347  6 Sb 2.92-3.06
Sc2 0.0000 0.0000 0.6653  6 Sb 2.92-3.06
Sc3 0.5000 0.5000 0.1653  6 Sb 2.92-3.06
Sc4 0.5000 0.5000 0.8347  6 Sb 2.92-3.06
Sb1 0.0000 0.0000 0.1735  5 Sc 2.92-3.06, 1 Nd 3.14
Sb2 0.0000 0.0000 0.5000  2 Sc 2.99, 4 Nd 3.05
Sb3 0.0000 0.0000 0.8265  5 Sc 2.92-3.06, 1 Nd 3.14
Sb4 0.5000 0.5000 0.0000  2 Sc 2.99, 4 Nd 3.05
Sb5 0.5000 0.5000 0.3265  5 Sc 2.92-3.06, 1 Nd 3.14
Sb6 0.5000 0.5000 0.6735  5 Sc 2.92-3.06, 1 Nd 3.14

Computed properties:
- SG: I4/mmm (139)
- Formation energy from raw total energies: -0.97 eV per atom
- Crystal system: tetragonal

---

No. 5
Compound: NdSc2Sb4
Source: Alexandria
Functional: PBE
Structure: optimized geometry

Unit cell a=5.9603 b=5.9603 c=16.0753 alpha=90.00 beta=90.00 gamma=138.15
Closest atoms and distances in Å follow each position.
Fractional positions:
Nd1 0.0638 0.9362 0.7500  7 Sb 3.18-3.26
Nd2 0.9362 0.0638 0.2500  7 Sb 3.18-3.26
Sc1 0.3470 0.6530 0.5754  6 Sb 2.81-3.03
Sc2 0.3470 0.6530 0.9246  6 Sb 2.81-3.03
Sc3 0.6530 0.3470 0.0754  6 Sb 2.81-3.03
Sc4 0.6530 0.3470 0.4246  6 Sb 2.81-3.03
Sb1 0.0000 0.0000 0.0000  4 Sc 2.98, 4 Sb 3.31
Sb2 0.0000 0.0000 0.5000  4 Sc 2.98, 4 Sb 3.31
Sb3 0.3390 0.6610 0.1120  3 Sc 3.01-3.03, 2 Nd 3.26, 2 Sb 3.31
Sb4 0.3390 0.6610 0.3880  3 Sc 3.01-3.03, 2 Nd 3.26, 2 Sb 3.31
Sb5 0.3518 0.6482 0.7500  2 Sc 2.81
Sb6 0.6482 0.3518 0.2500  2 Sc 2.81
Sb7 0.6610 0.3390 0.6120  3 Sc 3.01-3.03, 2 Nd 3.26, 2 Sb 3.31
Sb8 0.6610 0.3390 0.8880  3 Sc 3.01-3.03, 2 Nd 3.26, 2 Sb 3.31

Computed properties:
- SG: Cmcm (63)
- Formation energy from raw total energies: -0.75 eV per atom
- Crystal system: orthorhombic

---

No. 6
Compound: Nd3ScSb2
Source: Alexandria
Functional: PBE
Structure: optimized geometry

Unit cell a=8.8577 b=8.8577 c=8.8577 alpha=132.13 beta=75.06 gamma=125.95
Closest atoms and distances in Å follow each position.
Fractional positions:
Nd1 0.0430 0.7500 0.2930  4 Sb 3.14-3.22
Nd2 0.2500 0.2500 0.0000  4 Sb 3.14
Nd3 0.4570 0.7500 0.7070  4 Sb 3.14-3.22
Nd4 0.5430 0.2500 0.2930  4 Sb 3.14-3.22
Nd5 0.7500 0.7500 0.0000  4 Sb 3.14
Nd6 0.9570 0.2500 0.7070  4 Sb 3.14-3.22
Sc1 0.0000 0.5000 0.5000  2 Sb 3.00
Sc2 0.5000 0.0000 0.5000  2 Sb 3.00
Sb1 0.1421 0.1886 0.3307  1 Sc 3.00, 6 Nd 3.14-3.22
Sb2 0.3579 0.6886 0.0465  1 Sc 3.00, 6 Nd 3.14-3.22
Sb3 0.6421 0.3114 0.9535  1 Sc 3.00, 6 Nd 3.14-3.22
Sb4 0.8579 0.8114 0.6693  1 Sc 3.00, 6 Nd 3.14-3.22

Computed properties:
- Offset from the most stable computed form: 0.248 eV/atom
- SG: Ibam (72)
- Formation energy from raw total energies: -0.58 eV per atom
- Crystal system: orthorhombic

---

| no. | electronic total energy (Ha/atom) |
| --- | --- |
| 1 | -0.2074 |
| 2 | -0.2216 |
| 3 | -0.2086 |
| 4 | -0.2180 |
| 5 | -0.2057 |
| 6 | -0.1983 |